An optimized crystal structure of RhPb2Cl2O2. Source: Alexandria via LeMat-Bulk, functional GGA-PBE.

Unit cell a=3.8422 b=6.3379 c=7.0785 alpha=67.58 beta=74.25 gamma=72.36
Each line ends with the local moment (μB).
Element x y z (fractional)
Rh (0.0000, 0.0000, 0.0000)  0.73
Pb (0.1878, 0.3827, 0.2417)  0.00
Pb (0.8122, 0.6173, 0.7583)  0.00
Cl (0.5540, 0.1493, 0.7426)  0.08
Cl (0.4460, 0.8507, 0.2574)  0.08
O (0.1901, 0.6907, 0.9290)  0.00
O (0.8099, 0.3093, 0.0710)  0.00

- Spin magnetization: 0.141 μB/atom
- SG: C2/m



An optimized crystal structure of RhPb2ClO4. Source: Alexandria via LeMat-Bulk, functional GGA-PBE.

Unit cell a=3.3454 b=5.0307 c=9.1029 alpha=82.21 beta=79.41 gamma=70.58
Element x y z (fractional)
Rh (0.0000, 0.0000, 0.0000)
Pb (0.8229, 0.5840, 0.7702)
Pb (0.1771, 0.4160, 0.2298)
Cl (0.5000, 0.5000, 0.5000)
O (0.1475, 0.9168, 0.7883)
O (0.3862, 0.2591, 0.9685)
O (0.8525, 0.0832, 0.2117)
O (0.6138, 0.7409, 0.0315)

- Spin magnetization: 0.000 μB/atom
- SG: C2/m



An optimized crystal structure of RuPbClO4. Source: Alexandria via LeMat-Bulk, functional GGA-PBE.

Unit cell a=6.8062 b=6.8062 c=7.2119 alpha=78.35 beta=78.35 gamma=69.71
Each line ends with the local moment (μB).
Element x y z (fractional)
Ru (0.6390, 0.6390, 0.7326)  0.52
Ru (0.3610, 0.3610, 0.2674)  0.52
Pb (0.1950, 0.1950, 0.8984)  0.01
Pb (0.8050, 0.8050, 0.1016)  0.01
Cl (0.0147, 0.0147, 0.2384)  0.01
Cl (0.9853, 0.9853, 0.7616)  0.01
O (0.2850, 0.2850, 0.5086)  0.10
O (0.7150, 0.7150, 0.4914)  0.10
O (0.1364, 0.4848, 0.1450)  0.08
O (0.5200, 0.5200, 0.2277)  0.09
O (0.5152, 0.8636, 0.8550)  0.08
O (0.4848, 0.1364, 0.1450)  0.08
O (0.4800, 0.4800, 0.7723)  0.09
O (0.8636, 0.5152, 0.8550)  0.08

- Spin magnetization: 0.148 μB/atom
- SG: C2/m



An optimized crystal structure of RuPbClO2. Source: Alexandria via LeMat-Bulk, functional GGA-PBE.

Unit cell a=4.0715 b=4.8167 c=4.0715 alpha=90.00 beta=90.00 gamma=90.00
Each line ends with the local moment (μB).
Element x y z (fractional)
Pb (0.5000, 0.5000, 0.5000)  0.01
Ru (0.0000, 0.0000, 0.0000)  1.05
O (0.0000, 0.0000, 0.5000)  0.08
O (0.5000, 0.0000, 0.0000)  0.29
Cl (0.0000, 0.5000, 0.0000)  0.00

- Spin magnetization: 0.308 μB/atom
- SG: P4/mmm



An optimized crystal structure of RuPb2ClO4. Source: Alexandria via LeMat-Bulk, functional GGA-PBE.

Unit cell a=3.3891 b=5.2129 c=8.8906 alpha=80.16 beta=79.01 gamma=71.03
Each line ends with the local moment (μB).
Element x y z (fractional)
Ru (0.0000, 0.0000, 0.0000)  0.65
Pb (0.8226, 0.5793, 0.7755)  0.01
Pb (0.1774, 0.4207, 0.2245)  0.01
Cl (0.5000, 0.5000, 0.5000)  -0.01
O (0.1448, 0.9157, 0.7947)  0.12
O (0.3930, 0.2529, 0.9611)  -0.03
O (0.8552, 0.0843, 0.2053)  0.12
O (0.6070, 0.7471, 0.0389)  -0.03

- Spin magnetization: 0.116 μB/atom
- SG: C2/m



An optimized crystal structure of PbS2ClO. Source: Alexandria via LeMat-Bulk, functional GGA-PBE.

Unit cell a=5.4183 b=5.4183 c=5.3276 alpha=90.00 beta=90.00 gamma=90.00
Each line ends with the local moment (μB).
Element x y z (fractional)
Pb (0.0000, 0.0000, 0.0000)  0.00
S (0.0000, 0.5000, 0.0000)  0.60
S (0.5000, 0.0000, 0.0000)  0.60
O (0.5000, 0.5000, 0.5000)  1.50
Cl (0.0000, 0.0000, 0.5000)  0.05

- Spin magnetization: 0.778 μB/atom
- SG: P4/mmm
- Excess energy over the best structure of this formula in the dataset: 706 meV per atom



An optimized crystal structure of PbSClO4. Source: Alexandria via LeMat-Bulk, functional GGA-PBE.

Unit cell a=6.3165 b=6.3165 c=6.7970 alpha=75.84 beta=75.84 gamma=70.83
Element x y z (fractional)
Pb (0.2184, 0.2184, 0.8499)
Pb (0.7816, 0.7816, 0.1501)
S (0.6412, 0.6412, 0.7399)
S (0.3588, 0.3588, 0.2601)
Cl (0.0254, 0.0254, 0.2386)
Cl (0.9746, 0.9746, 0.7614)
O (0.2609, 0.2609, 0.4738)
O (0.7391, 0.7391, 0.5262)
O (0.1674, 0.4917, 0.1443)
O (0.4979, 0.4979, 0.2734)
O (0.5083, 0.8326, 0.8557)
O (0.4917, 0.1674, 0.1443)
O (0.5021, 0.5021, 0.7266)
O (0.8326, 0.5083, 0.8557)

- Spin magnetization: 0.000 μB/atom
- SG: C2/m



An optimized crystal structure of Pb4SCl2O2. Source: Alexandria via LeMat-Bulk, functional GGA-PBE.

Unit cell a=4.0367 b=8.2356 c=7.5630 alpha=107.84 beta=90.00 gamma=104.19
Element x y z (fractional)
Pb (0.7868, 0.5737, 0.8307)
Pb (0.2132, 0.4263, 0.1693)
Pb (0.4596, 0.9192, 0.2312)
Pb (0.5404, 0.0808, 0.7688)
S (0.0000, 0.0000, 0.0000)
Cl (0.8686, 0.7373, 0.4198)
Cl (0.1314, 0.2627, 0.5802)
O (0.3219, 0.6437, 0.0203)
O (0.6781, 0.3563, 0.9797)

- Spin magnetization: 0.000 μB/atom
- SG: C2/m



An optimized crystal structure of PbS2ClO. Source: Alexandria via LeMat-Bulk, functional GGA-PBE.

Unit cell a=4.1806 b=4.1806 c=6.8161 alpha=90.00 beta=90.00 gamma=90.00
Element x y z (fractional)
Pb (0.5000, 0.5000, 0.5000)
S (0.0000, 0.5000, 0.0000)
S (0.5000, 0.0000, 0.0000)
O (0.0000, 0.0000, 0.0000)
Cl (0.0000, 0.0000, 0.5000)

- Spin magnetization: 0.000 μB/atom
- SG: P4/mmm
- Excess energy over the best structure of this formula in the dataset: 0 meV per atom



An optimized crystal structure of SbPbClO2. Source: Alexandria via LeMat-Bulk, functional GGA-PBE.

Unit cell a=6.8767 b=6.8767 c=5.5061 alpha=90.00 beta=90.00 gamma=131.14
Element x y z (fractional)
Cl (0.7425, 0.2575, 0.7500)
Cl (0.2575, 0.7425, 0.2500)
O (0.2265, 0.2265, 0.0000)
O (0.7735, 0.7735, 0.5000)
O (0.7735, 0.7735, 0.0000)
O (0.2265, 0.2265, 0.5000)
Pb (0.3821, 0.6179, 0.7500)
Pb (0.6179, 0.3821, 0.2500)
Sb (0.0786, 0.9214, 0.7500)
Sb (0.9214, 0.0786, 0.2500)

- Spin magnetization: 0.000 μB/atom
- SG: Cmcm



An optimized crystal structure of SbPb2Cl2O4. Source: Alexandria via LeMat-Bulk, functional GGA-PBE.

Unit cell a=6.0660 b=6.0660 c=6.0660 alpha=94.66 beta=117.35 gamma=117.35
Each line ends with the local moment (μB).
Element x y z (fractional)
Sb (0.0000, 0.0000, 0.0000)  -0.02
Pb (0.5000, 0.7500, 0.2500)  -0.01
Pb (0.5000, 0.2500, 0.7500)  -0.01
Cl (0.0000, 0.6975, 0.6975)  0.02
Cl (0.0000, 0.3025, 0.3025)  0.02
O (0.0000, 0.7808, 0.2192)  0.23
O (0.5615, 0.7808, 0.7808)  0.23
O (0.0000, 0.2192, 0.7808)  0.23
O (0.4385, 0.2192, 0.2192)  0.23

- Spin magnetization: 0.117 μB/atom
- SG: I4/mmm



An optimized crystal structure of SbPb2Cl2O2. Source: Alexandria via LeMat-Bulk, functional GGA-PBE.

Unit cell a=4.3837 b=6.5987 c=6.8855 alpha=66.95 beta=71.44 gamma=70.60
Element x y z (fractional)
Sb (0.0000, 0.0000, 0.0000)
Pb (0.1862, 0.3889, 0.2387)
Pb (0.8138, 0.6111, 0.7613)
Cl (0.5535, 0.1759, 0.7171)
Cl (0.4465, 0.8241, 0.2829)
O (0.2052, 0.6788, 0.9107)
O (0.7948, 0.3212, 0.0893)

- Spin magnetization: 0.000 μB/atom
- SG: C2/m



Number 1: uncorrected formation energy -870 meV per atom. Number 2: uncorrected formation energy -828 meV per atom. Number 3: uncorrected formation energy -862 meV per atom. Number 4: uncorrected formation energy -469 meV per atom. Number 5: uncorrected formation energy -929 meV per atom. Number 6: uncorrected formation energy 892 meV per atom. Number 7: uncorrected formation energy -1084 meV per atom. Number 8: uncorrected formation energy -1051 meV per atom. Number 9: uncorrected formation energy 186 meV per atom. Number 10: uncorrected formation energy -1311 meV per atom. Number 11: uncorrected formation energy -756 meV per atom. Number 12: uncorrected formation energy -897 meV per atom.